--- one ---
A plane-wave DFT calculation with PBE was carried out for an optimized crystal structure of LiGaTe.

CIF file:
```
data_LiGaTe
_chemical_formula_sum 'Li2 Ga2 Te2'
_cell_length_a 4.127
_cell_length_b 4.127
_cell_length_c 8.662
_cell_angle_alpha 90.00
_cell_angle_beta 90.00
_cell_angle_gamma 90.00
_space_group_name_H-M_alt 'I 4 m m'
_space_group_IT_number 107
_space_group_name_Hall 'I 4 -2'
loop_
_atom_site_label
_atom_site_type_symbol
_atom_site_fract_x
_atom_site_fract_y
_atom_site_fract_z
Li1 Li 0.000 0.000 0.000
Ga1 Ga 0.000 0.000 0.315
Te1 Te 0.000 0.000 0.656
```

Calculated values
Total moment = 0.0 μB/cell
Crystal system = tetragonal

---

--- two ---
A plane-wave DFT calculation with PBE was carried out for an optimized crystal structure of LiGaTe.

CIF file:
```
data_LiGaTe
_chemical_formula_sum 'Li4 Ga4 Te4'
_cell_length_a 4.021
_cell_length_b 6.421
_cell_length_c 10.867
_cell_angle_alpha 90.00
_cell_angle_beta 90.00
_cell_angle_gamma 90.00
_space_group_name_H-M_alt 'I m m m'
_space_group_IT_number 71
_space_group_name_Hall '-I 2 2'
loop_
_atom_site_label
_atom_site_type_symbol
_atom_site_fract_x
_atom_site_fract_y
_atom_site_fract_z
Li1 Li 0.000 0.227 0.000
Ga1 Ga 0.000 0.000 0.354
Te1 Te 0.000 0.500 0.338
```

Calculated values
Total moment = 0.0 μB/cell
Crystal system = orthorhombic

---

Most stable = two

---

--- one ---
A plane-wave DFT calculation with PBE was carried out for an optimized crystal structure of LiTm2Os.

CIF file:
```
data_LiTm2Os
_chemical_formula_sum 'Li4 Tm8 Os4'
_cell_length_a 6.832
_cell_length_b 6.832
_cell_length_c 6.832
_cell_angle_alpha 90.00
_cell_angle_beta 90.00
_cell_angle_gamma 90.00
_space_group_name_H-M_alt 'F m -3 m'
_space_group_IT_number 225
_space_group_name_Hall '-F 4 2 3'
loop_
_atom_site_label
_atom_site_type_symbol
_atom_site_fract_x
_atom_site_fract_y
_atom_site_fract_z
Li1 Li 0.000 0.000 0.000
Tm1 Tm 0.250 0.250 0.250
Os1 Os 0.000 0.000 0.500
```

Calculated values
Total moment = 0.0 μB/cell
Crystal system = cubic

---

--- two ---
A plane-wave DFT calculation with PBE was carried out for an optimized crystal structure of LiTm2Os.

CIF file:
```
data_LiTm2Os
_chemical_formula_sum 'Li1 Tm2 Os1'
_cell_length_a 3.375
_cell_length_b 3.375
_cell_length_c 8.027
_cell_angle_alpha 90.00
_cell_angle_beta 90.00
_cell_angle_gamma 90.00
_space_group_name_H-M_alt 'P 4/m m m'
_space_group_IT_number 123
_space_group_name_Hall '-P 4 2'
loop_
_atom_site_label
_atom_site_type_symbol
_atom_site_fract_x
_atom_site_fract_y
_atom_site_fract_z
Li1 Li 0.000 0.000 0.000
Tm1 Tm 0.500 0.500 0.298
Os1 Os 0.000 0.000 0.500
```

Calculated values
Total moment = 0.0 μB/cell
Crystal system = tetragonal

---

Most stable = one

---

--- one ---
A plane-wave DFT calculation with PBE was carried out for an optimized crystal structure of Sc2MoBr.

CIF file:
```
data_Sc2MoBr
_chemical_formula_sum 'Sc2 Mo1 Br1'
_cell_length_a 3.290
_cell_length_b 3.447
_cell_length_c 7.914
_cell_angle_alpha 90.00
_cell_angle_beta 90.00
_cell_angle_gamma 90.00
_space_group_name_H-M_alt 'P m m m'
_space_group_IT_number 47
_space_group_name_Hall '-P 2 2'
loop_
_atom_site_label
_atom_site_type_symbol
_atom_site_fract_x
_atom_site_fract_y
_atom_site_fract_z
Sc1 Sc 0.000 0.000 0.201
Mo1 Mo 0.500 0.500 0.000
Br1 Br 0.500 0.000 0.500
```

Calculated values
Total moment = 0.0 μB/cell
Crystal system = orthorhombic

---

--- two ---
A plane-wave DFT calculation with PBE was carried out for an optimized crystal structure of Sc2MoBr.

CIF file:
```
data_Sc2MoBr
_chemical_formula_sum 'Sc4 Mo2 Br2'
_cell_length_a 10.665
_cell_length_b 3.135
_cell_length_c 5.028
_cell_angle_alpha 90.00
_cell_angle_beta 102.58
_cell_angle_gamma 90.00
_space_group_name_H-M_alt 'C 1 m 1'
_space_group_IT_number 8
_space_group_name_Hall 'C -2y'
loop_
_atom_site_label
_atom_site_type_symbol
_atom_site_fract_x
_atom_site_fract_y
_atom_site_fract_z
Sc1 Sc 0.000 0.000 0.000
Sc2 Sc 0.210 0.000 0.630
Mo1 Mo 0.477 0.000 0.527
Br1 Br 0.273 0.500 0.175
```

Calculated values
Total moment = 0.0 μB/cell
Crystal system = monoclinic

---

Most stable = one